Compound: SiSnSb2Te
Source: the Alexandria database
Functional: SCAN
Structure: PBEsol geometry

Its relative energy among the computed polymorphs is 622 meV/atom. As for the energy relative to the elements, uncorrected: 1202 meV per atom.

The space group is P4/mmm (No. 123) and the conventional cell measures 5.5015, 5.5015 and 5.5537 Å, with angles of 90.00, 90.00 and 90.00 degrees. The asymmetric unit holds Si at (0.0000, 0.0000, 0.0000), Sn at (0.5000, 0.5000, 0.5000), Sb at (0.0000, 0.5000, 0.5000) and Te at (0.5000, 0.5000, 0.0000).

=====

Compound: TaCdRu2
Source: the Alexandria database
Functional: SCAN
Structure: PBEsol geometry

The value obtained for the energy relative to the elements is 0.004 eV/atom.

The space group is R-3m (No. 166, hexagonal axes) and the conventional cell measures 2.9773, 2.9773 and 25.4944 Å, with angles of 90.00, 90.00 and 120.00 degrees. The asymmetric unit holds Ta at (0.0000, 0.0000, 0.0000), Cd at (0.0000, 0.0000, 0.5000) and Ru at (0.0000, 0.0000, 0.2576).

=====

Compound: SnS2O
Source: the Alexandria database
Functional: SCAN
Structure: PBEsol geometry

Its relative energy among the computed polymorphs is 0 meV/atom. As for the energy relative to the elements, uncorrected: 499 meV per atom.

The space group is I-42d (No. 122) and the conventional cell measures 6.3388, 6.3388 and 6.9318 Å, with angles of 90.00, 90.00 and 90.00 degrees. The asymmetric unit holds Sn at (0.0000, 0.0000, 0.0000), S at (0.1998, 0.2500, 0.6250) and O at (0.0000, 0.0000, 0.5000).

=====

Compound: W2AuSe
Source: the Alexandria database
Functional: SCAN
Structure: PBEsol geometry

As for the energy relative to the elements, uncorrected: 698 meV per atom.

The space group is P4/mmm (No. 123) and the conventional cell measures 4.6162, 4.6162 and 2.9418 Å, with angles of 90.00, 90.00 and 90.00 degrees. The asymmetric unit holds W at (0.0000, 0.5000, 0.0000), Au at (0.0000, 0.0000, 0.5000) and Se at (0.5000, 0.5000, 0.5000).

=====

Compound: CaAs4Rh6
Source: the Alexandria database
Functional: SCAN
Structure: PBEsol geometry

The value obtained for the energy relative to the elements is -0.788 eV/atom.

The space group is P-6m2 (No. 187) and the conventional cell measures 7.1747, 7.1747 and 3.7515 Å, with angles of 90.00, 90.00 and 120.00 degrees. The asymmetric unit holds Ca at (0.0000, 0.0000, 0.0000), As at (0.1889, 0.3779, 0.5000), As at (0.6667, 0.3333, 0.0000), Rh at (0.0697, 0.5349, 0.0000) and Rh at (0.4006, 0.2003, 0.5000).

=====

Compound: Si2SeBr
Source: the Alexandria database
Functional: SCAN
Structure: PBEsol geometry

Its relative energy among the computed polymorphs is 0 meV/atom. As for the energy relative to the elements, uncorrected: 545 meV per atom.

The space group is Cmmm (No. 65) and the conventional cell measures 3.6159, 6.0100 and 7.8784 Å, with angles of 90.00, 90.00 and 90.00 degrees. The asymmetric unit holds Si at (0.0000, 0.0000, 0.2279), Se at (0.0000, 0.5000, 0.0000) and Br at (0.0000, 0.5000, 0.5000).

=====

DOS(E_F) (states/eV/atom)
1.037, 0.550, 0.548, 0.672, 0.439, 0.273